[1]
Entry from Alexandria: a relaxed structure of PmDy3Sc2Se6 (PBE-GGA).

Cell lengths 6.9964, 6.9964, 6.9792 Å; angles 99.58, 99.58, 120.16 degrees
Fractional positions:
Se: 0.5682 0.9190 0.7543
Se: 0.7303 0.7303 0.2386
Se: 0.9190 0.5682 0.7543
Se: 0.0810 0.4318 0.2457
Se: 0.4318 0.0810 0.2457
Se: 0.2697 0.2697 0.7614
Dy: 0.8430 0.1570 0.5000
Dy: 0.5000 0.5000 0.5000
Dy: 0.1570 0.8430 0.5000
Sc: 0.3363 0.6637 0.0000
Sc: 0.6637 0.3363 0.0000
Pm: 0.0000 0.0000 0.0000

Computed properties:
Magnetic moment = 0.00 Bohr magnetons per cell
VASP energy = -6.043 eV/atom
E_form (uncorrected) = -1.699 eV/atom

***

[2]
Entry from Alexandria: a relaxed structure of Pm3DySc2Se6 (PBE-GGA).

Cell lengths 7.0028, 7.0028, 7.1523 Å; angles 99.39, 99.39, 120.23 degrees
Fractional positions:
Se: 0.5804 0.9236 0.7699
Se: 0.4196 0.0764 0.2301
Se: 0.9236 0.5804 0.7699
Se: 0.0764 0.4196 0.2301
Se: 0.7320 0.7320 0.2256
Se: 0.2680 0.2680 0.7744
Pm: 0.5000 0.5000 0.5000
Pm: 0.8384 0.1616 0.5000
Pm: 0.1616 0.8384 0.5000
Dy: 0.0000 0.0000 0.0000
Sc: 0.6661 0.3339 0.0000
Sc: 0.3339 0.6661 0.0000

Computed properties:
Magnetic moment = 0.00 Bohr magnetons per cell
VASP energy = -6.100 eV/atom
E_form (uncorrected) = -1.731 eV/atom

***

[3]
Entry from Alexandria: a relaxed structure of PmDy2Sc3Se6 (PBE-GGA).

Cell lengths 6.9057, 6.9057, 6.9587 Å; angles 99.46, 99.46, 120.21 degrees
Fractional positions:
Se: 0.7480 0.7480 0.2662
Se: 0.2520 0.2520 0.7338
Se: 0.5688 0.9105 0.7299
Se: 0.0895 0.4312 0.2701
Se: 0.4312 0.0895 0.2701
Se: 0.9105 0.5688 0.7299
Sc: 0.8406 0.1594 0.5000
Sc: 0.5000 0.5000 0.5000
Sc: 0.1594 0.8406 0.5000
Dy: 0.6655 0.3345 0.0000
Dy: 0.3345 0.6655 0.0000
Pm: 0.0000 0.0000 0.0000

Computed properties:
Magnetic moment = 0.00 Bohr magnetons per cell
VASP energy = -6.166 eV/atom
E_form (uncorrected) = -1.678 eV/atom